Density functional theory data (GGA-PBE) for an optimized crystal structure of Sr2PrInSe5.

Cell lengths 9.684, 9.684, 13.061 Å; angles 90.00, 90.00, 154.54 degrees
Fractional coordinates of all 18 atoms:
1 Sr 0.114 0.886 0.500
2 Sr 0.128 0.872 0.135
3 Sr 0.872 0.128 0.635
4 Sr 0.886 0.114 0.000
5 Pr 0.213 0.787 0.838
6 Pr 0.787 0.213 0.338
7 In 0.450 0.550 0.262
8 In 0.550 0.450 0.762
9 Se 0.047 0.953 0.881
10 Se 0.289 0.711 0.494
11 Se 0.317 0.683 0.179
12 Se 0.365 0.635 0.821
13 Se 0.494 0.506 0.584
14 Se 0.506 0.494 0.084
15 Se 0.635 0.365 0.321
16 Se 0.683 0.317 0.679
17 Se 0.711 0.289 0.994
18 Se 0.953 0.047 0.381

Summary:
total DFT energy (no corrections): -4.725 eV per atom
M_tot: 0.0 μB per cell

***

Density functional theory data (GGA-PBE) for an optimized crystal structure of Sr2PrInSe4.

Cell lengths 7.493, 4.426, 7.859 Å; angles 90.00, 108.83, 90.00 degrees
Fractional coordinates of all 8 atoms:
1 Sr 0.000 0.000 0.000
2 Sr 0.000 0.500 0.500
3 Pr 0.500 0.000 0.500
4 In 0.500 0.500 0.000
5 Se 0.251 0.000 0.731
6 Se 0.259 0.500 0.265
7 Se 0.741 0.500 0.735
8 Se 0.749 0.000 0.269

Summary:
total DFT energy (no corrections): -4.727 eV per atom
M_tot: 0.0 μB per cell

***

Density functional theory data (GGA-PBE) for an optimized crystal structure of PrTmIn2Se4.

Cell lengths 7.304, 4.209, 8.101 Å; angles 90.00, 107.40, 90.00 degrees
Fractional coordinates of all 8 atoms:
1 Pr 0.000 0.000 0.000
2 Tm 0.500 0.500 0.000
3 In 0.000 0.500 0.500
4 In 0.500 0.000 0.500
5 Se 0.250 0.500 0.214
6 Se 0.276 0.000 0.792
7 Se 0.724 0.000 0.208
8 Se 0.750 0.500 0.786

Summary:
total DFT energy (no corrections): -4.862 eV per atom
M_tot: 0.0 μB per cell

***

Density functional theory data (GGA-PBE) for an optimized crystal structure of PrYIn2Se4.

Cell lengths 7.345, 4.238, 8.099 Å; angles 90.00, 107.55, 90.00 degrees
Fractional coordinates of all 8 atoms:
1 Pr 0.000 0.000 0.000
2 Y 0.500 0.500 0.000
3 In 0.000 0.500 0.500
4 In 0.500 0.000 0.500
5 Se 0.247 0.500 0.215
6 Se 0.272 0.000 0.789
7 Se 0.728 0.000 0.211
8 Se 0.753 0.500 0.785

Summary:
total DFT energy (no corrections): -5.126 eV per atom
M_tot: 0.0 μB per cell

***

Density functional theory data (GGA-PBE) for an optimized crystal structure of Pr2YIn3Se6.

Cell lengths 7.389, 7.389, 8.102 Å; angles 98.74, 98.74, 119.97 degrees
Fractional coordinates of all 12 atoms:
1 Pr 0.167 0.833 0.000
2 Pr 0.833 0.167 0.000
3 Y 0.500 0.500 0.000
4 In 0.000 0.000 0.500
5 In 0.332 0.668 0.500
6 In 0.668 0.332 0.500
7 Se 0.105 0.429 0.787
8 Se 0.248 0.248 0.216
9 Se 0.429 0.105 0.787
10 Se 0.571 0.895 0.213
11 Se 0.752 0.752 0.784
12 Se 0.895 0.571 0.213

Summary:
total DFT energy (no corrections): -5.053 eV per atom
M_tot: 0.0 μB per cell

***

Density functional theory data (GGA-PBE) for an optimized crystal structure of Pr2ZnInSe5.

Cell lengths 9.238, 9.238, 12.304 Å; angles 90.00, 90.00, 154.19 degrees
Fractional coordinates of all 18 atoms:
1 Pr 0.111 0.889 0.500
2 Pr 0.129 0.871 0.120
3 Pr 0.871 0.129 0.620
4 Pr 0.889 0.111 0.000
5 Zn 0.443 0.557 0.271
6 Zn 0.557 0.443 0.771
7 In 0.205 0.795 0.829
8 In 0.795 0.205 0.329
9 Se 0.045 0.955 0.879
10 Se 0.283 0.717 0.493
11 Se 0.315 0.685 0.161
12 Se 0.361 0.639 0.814
13 Se 0.496 0.504 0.593
14 Se 0.504 0.496 0.093
15 Se 0.639 0.361 0.314
16 Se 0.685 0.315 0.661
17 Se 0.717 0.283 0.993
18 Se 0.955 0.045 0.379

Summary:
total DFT energy (no corrections): -4.671 eV per atom
M_tot: 0.0 μB per cell

***

Density functional theory data (GGA-PBE) for an optimized crystal structure of Pr12In3Si5.

Cell lengths 15.562, 15.562, 15.562 Å; angles 109.47, 109.47, 109.47 degrees
Fractional coordinates of all 80 atoms:
1 Pr 0.042 0.215 0.125
2 Pr 0.042 0.327 0.918
3 Pr 0.082 0.625 0.410
4 Pr 0.082 0.958 0.673
5 Pr 0.090 0.715 0.673
6 Pr 0.090 0.875 0.418
7 Pr 0.125 0.042 0.215
8 Pr 0.125 0.582 0.910
9 Pr 0.173 0.215 0.590
10 Pr 0.173 0.458 0.582
11 Pr 0.215 0.125 0.042
12 Pr 0.215 0.590 0.173
13 Pr 0.285 0.327 0.910
14 Pr 0.285 0.458 0.375
15 Pr 0.327 0.910 0.285
16 Pr 0.327 0.918 0.042
17 Pr 0.375 0.285 0.458
18 Pr 0.375 0.590 0.918
19 Pr 0.410 0.082 0.625
20 Pr 0.410 0.827 0.785
21 Pr 0.418 0.090 0.875
22 Pr 0.418 0.827 0.542
23 Pr 0.458 0.375 0.285
24 Pr 0.458 0.582 0.173
25 Pr 0.542 0.418 0.827
26 Pr 0.542 0.625 0.715
27 Pr 0.582 0.173 0.458
28 Pr 0.582 0.910 0.125
29 Pr 0.590 0.173 0.215
30 Pr 0.590 0.918 0.375
31 Pr 0.625 0.410 0.082
32 Pr 0.625 0.715 0.542
33 Pr 0.673 0.082 0.958
34 Pr 0.673 0.090 0.715
35 Pr 0.715 0.542 0.625
36 Pr 0.715 0.673 0.090
37 Pr 0.785 0.410 0.827
38 Pr 0.785 0.875 0.958
39 Pr 0.827 0.542 0.418
40 Pr 0.827 0.785 0.410
41 Pr 0.875 0.418 0.090
42 Pr 0.875 0.958 0.785
43 Pr 0.910 0.125 0.582
44 Pr 0.910 0.285 0.327
45 Pr 0.918 0.042 0.327
46 Pr 0.918 0.375 0.590
47 Pr 0.958 0.673 0.082
48 Pr 0.958 0.785 0.875
49 In 0.125 0.250 0.375
50 In 0.125 0.375 0.750
51 In 0.250 0.375 0.125
52 In 0.250 0.875 0.625
53 In 0.375 0.125 0.250
54 In 0.375 0.750 0.125
55 In 0.625 0.250 0.875
56 In 0.625 0.875 0.750
57 In 0.750 0.125 0.375
58 In 0.750 0.625 0.875
59 In 0.875 0.625 0.250
60 In 0.875 0.750 0.625
61 Si 0.000 0.000 0.000
62 Si 0.000 0.000 0.500
63 Si 0.000 0.500 0.000
64 Si 0.000 0.500 0.500
65 Si 0.125 0.750 0.875
66 Si 0.125 0.875 0.250
67 Si 0.250 0.125 0.875
68 Si 0.250 0.625 0.375
69 Si 0.375 0.250 0.625
70 Si 0.375 0.625 0.750
71 Si 0.500 0.000 0.000
72 Si 0.500 0.000 0.500
73 Si 0.500 0.500 0.000
74 Si 0.500 0.500 0.500
75 Si 0.625 0.375 0.250
76 Si 0.625 0.750 0.375
77 Si 0.750 0.375 0.625
78 Si 0.750 0.875 0.125
79 Si 0.875 0.125 0.750
80 Si 0.875 0.250 0.125

Summary:
total DFT energy (no corrections): -4.767 eV per atom
M_tot: 0.0 μB per cell

***

Density functional theory data (GGA-PBE) for an optimized crystal structure of Pr5In12Si3.

Cell lengths 15.264, 15.264, 15.264 Å; angles 109.47, 109.47, 109.47 degrees
Fractional coordinates of all 80 atoms:
1 Pr 0.000 0.000 0.000
2 Pr 0.000 0.000 0.500
3 Pr 0.000 0.500 0.000
4 Pr 0.000 0.500 0.500
5 Pr 0.125 0.750 0.875
6 Pr 0.125 0.875 0.250
7 Pr 0.250 0.125 0.875
8 Pr 0.250 0.625 0.375
9 Pr 0.375 0.250 0.625
10 Pr 0.375 0.625 0.750
11 Pr 0.500 0.000 0.000
12 Pr 0.500 0.000 0.500
13 Pr 0.500 0.500 0.000
14 Pr 0.500 0.500 0.500
15 Pr 0.625 0.375 0.250
16 Pr 0.625 0.750 0.375
17 Pr 0.750 0.375 0.625
18 Pr 0.750 0.875 0.125
19 Pr 0.875 0.125 0.750
20 Pr 0.875 0.250 0.125
21 In 0.047 0.634 0.386
22 In 0.047 0.913 0.661
23 In 0.087 0.248 0.134
24 In 0.087 0.339 0.953
25 In 0.114 0.748 0.661
26 In 0.114 0.866 0.453
27 In 0.134 0.087 0.248
28 In 0.134 0.547 0.886
29 In 0.161 0.248 0.614
30 In 0.161 0.413 0.547
31 In 0.248 0.134 0.087
32 In 0.248 0.614 0.161
33 In 0.252 0.339 0.886
34 In 0.252 0.413 0.366
35 In 0.339 0.886 0.252
36 In 0.339 0.953 0.087
37 In 0.366 0.252 0.413
38 In 0.366 0.614 0.953
39 In 0.386 0.047 0.634
40 In 0.386 0.839 0.752
41 In 0.413 0.366 0.252
42 In 0.413 0.547 0.161
43 In 0.453 0.114 0.866
44 In 0.453 0.839 0.587
45 In 0.547 0.161 0.413
46 In 0.547 0.886 0.134
47 In 0.587 0.453 0.839
48 In 0.587 0.634 0.748
49 In 0.614 0.161 0.248
50 In 0.614 0.953 0.366
51 In 0.634 0.386 0.047
52 In 0.634 0.748 0.587
53 In 0.661 0.047 0.913
54 In 0.661 0.114 0.748
55 In 0.748 0.587 0.634
56 In 0.748 0.661 0.114
57 In 0.752 0.386 0.839
58 In 0.752 0.866 0.913
59 In 0.839 0.587 0.453
60 In 0.839 0.752 0.386
61 In 0.866 0.453 0.114
62 In 0.866 0.913 0.752
63 In 0.886 0.134 0.547
64 In 0.886 0.252 0.339
65 In 0.913 0.661 0.047
66 In 0.913 0.752 0.866
67 In 0.953 0.087 0.339
68 In 0.953 0.366 0.614
69 Si 0.125 0.250 0.375
70 Si 0.125 0.375 0.750
71 Si 0.250 0.375 0.125
72 Si 0.250 0.875 0.625
73 Si 0.375 0.125 0.250
74 Si 0.375 0.750 0.125
75 Si 0.625 0.250 0.875
76 Si 0.625 0.875 0.750
77 Si 0.750 0.125 0.375
78 Si 0.750 0.625 0.875
79 Si 0.875 0.625 0.250
80 Si 0.875 0.750 0.625

Summary:
total DFT energy (no corrections): -3.386 eV per atom
M_tot: 0.0 μB per cell

***

Density functional theory data (GGA-PBE) for an optimized crystal structure of Pr5InSi2.

Cell lengths 9.294, 9.294, 9.294 Å; angles 129.20, 129.20, 74.69 degrees
Fractional coordinates of all 16 atoms:
1 Pr 0.000 0.000 0.000
2 Pr 0.039 0.539 0.854
3 Pr 0.184 0.039 0.500
4 Pr 0.316 0.816 0.854
5 Pr 0.461 0.316 0.500
6 Pr 0.500 0.500 0.000
7 Pr 0.539 0.684 0.500
8 Pr 0.684 0.184 0.146
9 Pr 0.816 0.961 0.500
10 Pr 0.961 0.461 0.146
11 In 0.250 0.250 0.000
12 In 0.750 0.750 0.000
13 Si 0.115 0.385 0.500
14 Si 0.385 0.885 0.270
15 Si 0.615 0.115 0.730
16 Si 0.885 0.615 0.500

Summary:
total DFT energy (no corrections): -5.213 eV per atom
M_tot: 0.0 μB per cell

***

Density functional theory data (GGA-PBE) for an optimized crystal structure of Pr6In2Si.

Cell lengths 8.849, 8.849, 4.124 Å; angles 90.00, 90.00, 120.00 degrees
Fractional coordinates of all 9 atoms:
1 Pr 0.000 0.257 0.000
2 Pr 0.000 0.610 0.500
3 Pr 0.257 0.000 0.000
4 Pr 0.390 0.390 0.500
5 Pr 0.610 0.000 0.500
6 Pr 0.743 0.743 0.000
7 In 0.333 0.667 0.000
8 In 0.667 0.333 0.000
9 Si 0.000 0.000 0.500

Summary:
total DFT energy (no corrections): -4.775 eV per atom
M_tot: 0.0 μB per cell

***

Density functional theory data (GGA-PBE) for an optimized crystal structure of Pr12InSi5.

Cell lengths 8.852, 8.852, 8.852 Å; angles 112.24, 110.52, 105.73 degrees
Fractional coordinates of all 18 atoms:
1 Pr 0.033 0.231 0.802
2 Pr 0.182 0.271 0.453
3 Pr 0.182 0.729 0.910
4 Pr 0.320 0.025 0.705
5 Pr 0.320 0.615 0.295
6 Pr 0.430 0.231 0.198
7 Pr 0.570 0.769 0.802
8 Pr 0.680 0.385 0.705
9 Pr 0.680 0.975 0.295
10 Pr 0.818 0.271 0.090
11 Pr 0.818 0.729 0.547
12 Pr 0.967 0.769 0.198
13 In 0.500 0.500 0.000
14 Si 0.000 0.000 0.000
15 Si 0.112 0.612 0.500
16 Si 0.378 0.000 0.378
17 Si 0.622 0.000 0.622
18 Si 0.888 0.388 0.500

Summary:
total DFT energy (no corrections): -5.322 eV per atom
M_tot: 0.0 μB per cell

***

Density functional theory data (GGA-PBE) for an optimized crystal structure of Pr4InSi.

Cell lengths 5.938, 7.020, 8.904 Å; angles 90.00, 99.95, 90.00 degrees
Fractional coordinates of all 12 atoms:
1 Pr 0.151 0.250 0.045
2 Pr 0.185 0.750 0.366
3 Pr 0.345 0.517 0.746
4 Pr 0.345 0.983 0.746
5 Pr 0.655 0.017 0.254
6 Pr 0.655 0.483 0.254
7 Pr 0.815 0.250 0.634
8 Pr 0.849 0.750 0.955
9 In 0.230 0.250 0.418
10 In 0.770 0.750 0.582
11 Si 0.349 0.750 0.043
12 Si 0.651 0.250 0.957

Summary:
total DFT energy (no corrections): -4.938 eV per atom
M_tot: 0.0 μB per cell

***

Number 1: calculated density 5.208 Mg/m³. Number 2: calculated density 5.027 Mg/m³. Number 3: calculated density 5.976 Mg/m³. Number 4: calculated density 5.356 Mg/m³. Number 5: calculated density 5.408 Mg/m³. Number 6: calculated density 6.224 Mg/m³. Number 7: calculated density 4.981 Mg/m³. Number 8: calculated density 5.256 Mg/m³. Number 9: calculated density 6.191 Mg/m³. Number 10: calculated density 6.550 Mg/m³. Number 11: calculated density 6.073 Mg/m³. Number 12: calculated density 6.419 Mg/m³.